No. 1
Ni2WS: optimized geometry, PBE.

abc: 8.755 2.910 4.090
angles: 90.00 100.15 90.00
Space group Cm (No. 8)
Inequivalent atoms, fractional coordinates:
Ni 0.000 0.000 0.000 [2 per cell]
Ni 0.229 0.500 0.900 [2 per cell]
W 0.378 0.000 0.466 [2 per cell]
S 0.150 0.500 0.371 [2 per cell]

Computed properties:
Uncorrected energy = -7.137 eV/atom


No. 2
Sc2Zn5CuRu2: optimized geometry, PBE.

abc: 8.940 8.940 4.077
angles: 90.00 90.00 90.00
Space group P4/mbm (No. 127)
Inequivalent atoms, fractional coordinates:
Sc 0.172 0.328 0.000 [4 per cell]
Zn 0.000 0.500 0.500 [2 per cell]
Zn 0.062 0.801 0.500 [8 per cell]
Cu 0.000 0.000 0.000 [2 per cell]
Ru 0.128 0.628 0.000 [4 per cell]

Computed properties:
Uncorrected energy = -4.352 eV/atom


No. 3
NpV2Cr: optimized geometry, PBE.

abc: 6.136 6.136 6.136
angles: 90.00 90.00 90.00
Space group Fm-3m (No. 225)
Inequivalent atoms, fractional coordinates:
Np 0.000 0.000 0.000 [4 per cell]
V 0.250 0.250 0.250 [8 per cell]
Cr 0.000 0.000 0.500 [4 per cell]

Computed properties:
Distance to the lowest polymorph of the same formula = 56 meV per atom


No. 4
HoMgScPa: optimized geometry, PBE.

abc: 7.461 7.461 7.461
angles: 90.00 90.00 90.00
Space group F-43m (No. 216)
Inequivalent atoms, fractional coordinates:
Ho 0.000 0.000 0.000 [4 per cell]
Mg 0.250 0.250 0.750 [4 per cell]
Sc 0.000 0.000 0.500 [4 per cell]
Pa 0.250 0.250 0.250 [4 per cell]

Computed properties:
Uncorrected energy = -5.168 eV/atom


Number 3 is which compound? NpV2Cr


Which formula does entry 1 have? Ni2WS